Arrangement P

Material: KSc2Mo
Method: DFT, GGA-PBEsol
State: optimized geometry

Cell lengths 4.9716, 4.9716, 4.9716 Å; angles 60.00, 60.00, 60.00 degrees
Closest atoms and distances in Å follow each position.
Fractional positions:
K  0.5000  0.5000  0.5000  8 Sc 3.04
Mo  0.0000  0.0000  0.0000  8 Sc 3.04
Sc  0.2500  0.2500  0.2500  4 Mo 3.04, 4 K 3.04
Sc  0.7500  0.7500  0.7500  4 Mo 3.04, 4 K 3.04

Summary:
- size of the total moment (μB per formula unit) = 0.3



Arrangement Q

Material: KSc2Mo
Method: DFT, GGA-PBEsol
State: optimized geometry

Cell lengths 3.0591, 4.6220, 8.9416 Å; angles 104.98, 99.85, 90.00 degrees
Closest atoms and distances in Å follow each position.
Fractional positions:
K  0.5747  0.5747  0.1493  2 K 3.06
Mo  0.2636  0.7636  0.5273  6 Sc 2.68-2.77
Sc  0.8932  0.8932  0.7863  2 Mo 2.68
Sc  0.7685  0.2685  0.5370  4 Mo 2.77, 2 Sc 3.06

Summary:
- size of the total moment (μB per formula unit) = 0.0



Energies, relative to the best one, in kJ/mol of atoms: arrangement P 21.3; arrangement Q 0.0.